Record 1
Entry from OQMD: an optimized crystal structure of Tb5Se2Cl3O10 (PBE).

Properties
magnetization	0.00	μB per formula unit
space group	C2/m, No. 12
theoretical density	6281	kg/m3
uncorrected energy	-6.85	eV per atom
crystal system	monoclinic

Structure (POSCAR):
```
Tb5Se2Cl3O10
1.0
4.3729 3.2260 -0.4447
1.3732 -6.1842 2.0650
1.1221 -2.7952 -9.2436
Tb O Cl Se
5 10 3 2
Cartesian
2.1864 1.6130 -0.2223
1.6224 -2.2264 -0.1970
5.2995 -2.7064 -0.9454
5.2458 -3.5270 -7.4264
1.5687 -3.0469 -6.6780
3.0022 -7.0511 -5.5978
5.0997 -5.5038 -5.8111
5.3846 -1.5168 -8.4876
3.1593 -3.1584 -8.2613
2.7437 -4.4756 -5.4877
1.4837 -4.2366 0.8642
1.7685 -0.2496 -1.8122
3.8660 1.2978 -2.0255
4.1245 -1.2778 -2.1357
3.7089 -2.5949 0.6379
4.0727 -1.6835 -5.5888
2.7955 -4.0698 -2.0346
0.5611 -1.3976 -4.6218
3.6866 -5.6516 -4.7475
3.1816 -0.1017 -2.8759
```

***

Record 2
Entry from OQMD: an optimized crystal structure of Zn3Se2Cl2O6 (PBE).

Properties
space group	C2/m, No. 12
theoretical density	4376	kg/m3
uncorrected energy	-4.42	eV per atom
crystal system	monoclinic

Structure (POSCAR):
```
Zn3Se2Cl2O6
1.0
-0.8690 -0.7777 5.4629
-4.9905 -2.3854 0.7798
4.7167 -5.0695 -2.4106
Zn Cl O Se
3 2 6 2
Cartesian
0.6664 -4.8885 1.0918
-1.8092 -3.3441 2.7403
2.3583 -2.5348 -1.2053
-3.5948 -2.9058 4.1613
2.4520 -5.3269 -0.3292
-0.6272 -5.1711 -0.4412
-3.0906 -4.0660 1.3475
1.9478 -4.1666 2.4846
-0.5157 -3.0615 4.2733
-0.7995 -5.2535 2.5072
-0.3433 -2.9792 1.3249
-1.2997 -6.6156 3.4150
0.1569 -1.6170 0.4171
```

***

Record 3
Entry from OQMD: an optimized crystal structure of Sm4Cl6O (PBE).

Properties
magnetization	0.00	μB per formula unit
space group	P6_3mc, No. 186
theoretical density	5249	kg/m3
uncorrected energy	-5.14	eV per atom
crystal system	hexagonal

Structure (POSCAR):
```
Sm4Cl6O
1.0
-5.0004 5.1216 5.7357
5.2846 -6.7361 3.2880
5.4908 4.6274 0.6550
O Sm Cl
2 8 12
Cartesian
1.3209 3.6068 5.2651
2.0036 -2.6591 4.1212
1.9518 3.0849 3.1825
3.8337 -1.1171 4.3398
3.4188 -4.3571 3.7726
2.0728 2.4030 6.9955
3.1508 5.1492 5.4831
-0.1609 5.2488 5.6058
1.3062 -2.1933 6.1959
1.1866 -1.5102 2.3830
6.7217 -0.7461 6.5263
-1.2135 3.5341 3.1205
6.1419 -3.2340 3.8880
4.2145 2.4503 4.9668
3.0054 0.7661 1.9360
3.1731 -0.1933 7.2934
-1.0787 2.7688 7.4020
4.3568 4.6850 2.5946
6.5875 0.0198 2.2449
1.3879 7.7258 5.9999
1.2943 0.3382 4.6800
4.5265 3.7273 7.9522
```

***

Record 4
Entry from OQMD: an optimized crystal structure of Sm4Cl4O3 (PBE).

Properties
magnetization	0.00	μB per formula unit
space group	Pmm2, No. 25
theoretical density	6225	kg/m3
uncorrected energy	-6.51	eV per atom
crystal system	orthorhombic

Structure (POSCAR):
```
Sm4Cl4O3
1.0
-0.7086 -1.9640 -3.3165
-6.5055 -3.0559 3.1997
-3.6457 5.2940 -2.3561
Sm O Cl
4 3 4
Cartesian
-0.9783 -0.0759 -2.0615
-7.8769 2.0642 0.4606
-4.6273 3.5907 -1.1377
-4.2754 -1.5395 -0.4904
-5.1842 -3.2496 0.7166
-2.0311 -1.7685 -0.8343
-3.6402 5.2860 -2.3525
-2.6394 2.3363 -3.1351
-6.2039 -0.3384 1.5259
-5.9371 0.8735 -1.5643
-2.9822 1.1750 -0.0586
```

***

Record 5
Entry from OQMD: an optimized crystal structure of Sm2Cl3O (PBE).

Properties
magnetization	0.00	μB per formula unit
space group	C2/m, No. 12
theoretical density	4837	kg/m3
uncorrected energy	-5.88	eV per atom
crystal system	monoclinic

Structure (POSCAR):
```
Sm2Cl3O
1.0
-5.4751 -3.6457 -4.8039
-5.9631 -5.4108 -1.2294
-2.5067 9.2717 4.2361
Cl O Sm
6 2 4
Cartesian
-4.1678 3.6298 1.2234
-7.6143 -5.9085 -3.9570
-1.1366 1.7551 0.7115
-12.8083 -1.5398 -2.5088
-9.7771 -3.4146 -3.0207
-6.3306 6.1238 2.1597
-5.5936 -0.7170 -1.1176
-8.3513 0.9323 -0.6796
-6.1099 1.3403 -0.1722
-10.4244 -5.8679 -4.3205
-3.5205 6.0832 2.5232
-7.8350 -1.1251 -1.6251
```

***

Record 6
Entry from OQMD: an optimized crystal structure of Sm2Cl2O (PBE).

Properties
magnetization	0.02	μB per formula unit
space group	Ibam, No. 72
theoretical density	6174	kg/m3
energy relative to the lowest polymorph listed for this composition	0.0	meV per atom
uncorrected energy	-5.83	eV per atom
crystal system	orthorhombic

Structure (POSCAR):
```
Sm2Cl2O
1.0
-3.3896 5.5572 2.7675
3.3896 -5.5572 2.7675
3.3896 5.5572 -2.7675
Sm Cl O
4 4 2
Cartesian
1.3298 1.2655 2.7675
5.4494 1.2655 0.0000
2.0598 4.2917 0.0000
-2.0598 4.2917 2.7675
0.8886 7.0002 0.0000
0.8886 4.1142 2.7675
2.5010 -1.4430 2.7675
2.5010 1.4430 0.0000
0.0000 0.0000 4.1513
0.0000 0.0000 1.3837
```

***

Record 7
Entry from OQMD: an optimized crystal structure of Sm2Cl2O (PBE).

Properties
magnetization	1.00	μB per formula unit
space group	C2/m, No. 12
theoretical density	5145	kg/m3
energy relative to the lowest polymorph listed for this composition	42.2	meV per atom
uncorrected energy	-5.79	eV per atom
crystal system	monoclinic

Structure (POSCAR):
```
Sm2Cl2O
1.0
4.8562 -4.2769 0.0000
4.8562 4.2769 0.0000
-1.3024 0.0000 6.0235
Sm Cl O
4 4 2
Cartesian
4.2051 -1.7576 3.0117
4.2051 1.7576 3.0117
1.7521 0.0000 0.4308
6.6580 0.0000 5.5927
6.6302 1.6388 1.4628
6.6302 -1.6388 1.4628
1.7799 -1.6388 4.5607
1.7799 1.6388 4.5607
4.9913 0.0000 4.1457
3.4188 0.0000 1.8777
```

***

Record 8
Entry from OQMD: an optimized crystal structure of Sm3ClO4 (PBE).

Properties
magnetization	0.01	μB per formula unit
space group	P4/mmm, No. 123
theoretical density	6515	kg/m3
uncorrected energy	-7.64	eV per atom
crystal system	tetragonal

Structure (POSCAR):
```
Sm3ClO4
1.0
3.9512 0.0000 0.0000
0.0000 3.9512 0.0000
0.0000 0.0000 8.9877
Sm Cl O
3 1 4
Cartesian
1.9756 1.9756 2.4195
1.9756 1.9756 6.5682
0.0000 0.0000 0.0000
0.0000 0.0000 4.4938
1.9756 0.0000 7.5639
0.0000 1.9756 7.5639
1.9756 0.0000 1.4238
0.0000 1.9756 1.4238
```

***

Record 9
Entry from OQMD: an optimized crystal structure of TbSmCl2O2 (PBE).

Properties
magnetization	0.00	μB per formula unit
space group	P4mm, No. 99
theoretical density	6540	kg/m3
uncorrected energy	-6.89	eV per atom
crystal system	tetragonal

Structure (POSCAR):
```
TbSmCl2O2
1.0
-3.2988 1.0439 -1.9043
1.7646 -0.7301 -3.4571
-2.1505 -6.3511 0.2436
Sm Tb O Cl
1 1 2 2
Cartesian
-0.3743 -1.1054 0.0424
-2.5554 -5.1244 -2.4781
-1.2609 -6.6946 -1.4857
-3.7926 -5.8075 -0.7094
-1.3494 -3.9852 0.1529
-1.5707 -2.2164 -2.5896
```

***

Record 10
Entry from OQMD: an optimized crystal structure of SmYCl2O2 (PBE).

Properties
magnetization	0.00	μB per formula unit
space group	P4mm, No. 99
theoretical density	5443	kg/m3
uncorrected energy	-7.17	eV per atom
crystal system	tetragonal

Structure (POSCAR):
```
SmYCl2O2
1.0
-2.2083 1.9624 2.6171
-1.7585 -3.3747 1.0468
4.6839 -0.9855 4.6912
O Sm Cl Y
2 1 2 1
Cartesian
3.7877 -2.6693 5.1976
3.5628 -0.0007 5.9827
-1.1679 -0.8777 2.6487
1.7499 -0.3682 1.7526
0.9536 -1.3241 4.7735
3.8996 -0.8205 3.9057
```

***

Record 11
Entry from OQMD: an optimized crystal structure of Sr3Zn2Cl2O4 (PBE).

Properties
space group	I4/mmm, No. 139
theoretical density	4864	kg/m3
uncorrected energy	-4.97	eV per atom
crystal system	tetragonal

Structure (POSCAR):
```
Sr3Zn2Cl2O4
1.0
-2.0354 2.0354 10.8886
2.0354 -2.0354 10.8886
2.0354 2.0354 -10.8886
Zn O Cl Sr
2 4 2 3
Cartesian
0.0000 0.0000 9.1566
0.0000 0.0000 12.6205
2.0354 0.0000 9.1844
0.0000 2.0354 1.7042
2.0354 0.0000 1.7042
0.0000 2.0354 9.1844
0.0000 0.0000 6.4436
0.0000 0.0000 15.3335
0.0000 0.0000 3.3141
0.0000 0.0000 0.0000
0.0000 0.0000 18.4630
```

***

Record 12
Entry from OQMD: an optimized crystal structure of TaClO (PBE).

Properties
magnetization	0.00	μB per formula unit
space group	Pnma, No. 62
theoretical density	5127	kg/m3
uncorrected energy	-7.22	eV per atom
crystal system	orthorhombic

Structure (POSCAR):
```
TaClO
1.0
-5.7172 -5.2942 -6.2344
-2.9650 -1.1238 3.6734
-3.3963 5.0696 -1.1905
Cl Ta O
4 4 4
Cartesian
-6.2489 -0.7068 -3.6575
-5.8297 -0.6415 -0.0940
-4.6197 3.7754 -0.9713
-7.4589 -5.1237 -2.7803
-2.9578 2.5374 -0.0086
-5.1954 -2.8310 -0.2518
-6.8832 1.4827 -3.4997
-9.1208 -3.8857 -3.7430
-3.0861 0.9125 -0.6092
-8.9925 -2.2609 -3.1423
-7.2181 2.0046 -0.4051
-4.8605 -3.3529 -3.3464
```

***

Record 13
Entry from OQMD: an optimized crystal structure of TaClO2 (PBE).

Properties
magnetization	0.00	μB per formula unit
space group	Pnma, No. 62
theoretical density	6390	kg/m3
uncorrected energy	-8.27	eV per atom
crystal system	orthorhombic

Structure (POSCAR):
```
TaClO2
1.0
-3.9700 1.7483 -17.8437
3.3766 -1.1751 -0.8664
-1.2722 -3.6039 -0.0701
O Ta Cl
8 4 4
Cartesian
1.1274 -4.4206 -1.3250
-0.1554 -1.9334 -1.8884
-0.2252 -1.7551 -10.2120
-1.6404 -1.2756 -8.5681
-1.7101 -1.0973 -16.8917
-2.9930 1.3899 -17.4551
-1.5057 0.7388 -10.7753
-0.3599 -3.7695 -8.0048
-0.7415 -3.7583 -1.6973
0.2256 -1.9461 -8.1960
-1.1241 0.7275 -17.0828
-2.0912 -1.0846 -10.5841
0.5407 -4.1662 -3.9567
-2.4063 1.1355 -14.8234
-0.8095 -1.4938 -12.8436
-1.0561 -1.5369 -5.9365
```

***

Record 14
Entry from OQMD: an optimized crystal structure of TaCl3O (PBE).

Properties
magnetization	0.00	μB per formula unit
space group	Pnma, No. 62
theoretical density	3722	kg/m3
uncorrected energy	-6.22	eV per atom
crystal system	orthorhombic

Structure (POSCAR):
```
TaCl3O
1.0
-0.3268 3.3663 1.8929
-9.5776 1.4809 -4.2872
-5.5293 -6.2657 10.1883
Ta O Cl
4 4 12
Cartesian
-10.2706 -1.4781 2.7877
-5.1631 0.0596 5.0063
-12.7123 -2.3767 7.9322
-2.7214 0.9582 -0.1382
-12.5358 -4.0230 6.9690
-2.8980 2.6045 0.8250
-10.4510 0.2077 3.7730
-4.9827 -1.6262 4.0209
-9.3156 -0.3676 1.0377
-8.9447 -2.2635 4.4836
-1.3897 0.1132 1.5243
-6.1182 -1.0509 6.7563
-10.4395 -2.0890 7.8832
-12.5493 -1.7062 2.8702
-4.9943 0.6705 -0.0892
-2.8845 0.2877 4.9238
-7.2907 -4.2480 8.2714
-14.0440 -1.5317 6.2697
-6.4890 0.8450 3.3103
-8.1430 2.8295 -0.4775
```

***

Record 15
Entry from OQMD: an optimized crystal structure of Tb3ClO4 (PBE).

Properties
magnetization	0.00	μB per formula unit
space group	P4/mmm, No. 123
theoretical density	7142	kg/m3
uncorrected energy	-7.68	eV per atom
crystal system	tetragonal

Structure (POSCAR):
```
Tb3ClO4
1.0
3.8878 0.0000 0.0000
0.0000 3.8878 0.0000
0.0000 0.0000 8.8640
Cl O Tb
1 4 3
Cartesian
0.0000 0.0000 4.4320
0.0000 1.9439 1.3946
1.9439 0.0000 7.4693
1.9439 0.0000 1.3946
0.0000 1.9439 7.4693
0.0000 0.0000 0.0000
1.9439 1.9439 2.3517
1.9439 1.9439 6.5123
```

***

Record 16
Entry from OQMD: an optimized crystal structure of Zn2TeCl2O3 (PBE).

Properties
space group	Pccn, No. 56
theoretical density	4091	kg/m3
uncorrected energy	-4.23	eV per atom
crystal system	orthorhombic

Structure (POSCAR):
```
Zn2TeCl2O3
1.0
-6.6282 -5.8507 5.5782
9.5736 -11.9405 -1.1483
3.4903 2.1797 6.4334
Cl Zn O Te
16 16 24 8
Cartesian
-1.2384 -5.6124 4.0252
7.6741 -9.9990 6.8382
-2.7992 -8.4358 5.8285
9.2349 -7.1757 5.0348
3.0534 -0.7211 6.9414
8.1685 -9.1121 1.7367
5.2502 -10.2424 3.7029
4.8517 -4.1574 7.1300
3.6668 -4.7527 3.4418
1.1854 -5.3691 7.1605
2.7688 -10.8588 7.4216
0.7480 -2.3055 4.1962
5.6877 -13.3060 6.6672
1.5840 -11.4541 3.7333
-1.7328 -6.4994 9.1266
3.3823 -14.8904 3.9220
-1.7154 -9.7284 7.3004
3.3112 -5.7420 7.7554
7.5090 -12.0715 6.0081
1.7495 -8.6853 7.4493
10.7408 -11.2112 6.1138
-2.6096 -5.3466 10.8336
-1.0733 -3.5399 4.8553
8.1511 -5.8831 3.5630
-0.1396 -9.9022 4.3538
6.5753 -5.7093 6.5096
-2.7039 -3.4375 8.0874
4.6862 -6.9262 3.4140
-4.3051 -4.4003 4.7495
9.1396 -12.1740 2.7760
9.0453 -10.2649 0.0297
3.1245 -9.8695 3.1079
0.8756 -8.5201 5.6466
9.9758 -10.9408 4.1254
-3.7344 -4.1408 9.6857
9.3621 -12.6346 6.5431
5.5601 -7.0914 5.2167
-5.0572 -6.2166 5.4130
6.1003 -7.3525 7.6839
-1.1132 -3.1858 6.7792
7.4522 -12.7178 1.5637
3.0390 -8.0146 3.8755
4.5933 -7.4942 1.3449
-2.9264 -2.9769 4.3202
7.5489 -12.4257 4.0842
11.4929 -9.3949 5.4503
7.3373 -4.6711 4.9435
-0.9016 -10.9404 5.9199
1.8423 -8.1173 9.5184
-1.0166 -2.8937 9.2996
-3.5401 -4.6706 6.7380
0.3354 -8.2590 3.1794
6.5540 -6.5014 2.6167
-0.1183 -9.1100 8.2467
10.1701 -11.4707 1.1777
3.3967 -7.5968 6.9878
0.1384 -8.7256 10.0927
5.0737 -8.4165 6.4859
1.3620 -7.1950 4.3775
10.8905 -9.3483 3.6458
0.2590 -2.5529 7.9358
-4.4548 -6.2632 7.2176
6.2973 -6.8858 0.7707
6.1767 -13.0586 2.9275
```

***

Record 17
Entry from OQMD: an optimized crystal structure of Zr2Te4Cl2O11 (PBE).

Properties
magnetization	0.00	μB per formula unit
space group	P-1, No. 2
theoretical density	4906	kg/m3
uncorrected energy	-6.35	eV per atom
crystal system	triclinic

Structure (POSCAR):
```
Zr2Te4Cl2O11
1.0
7.8104 0.0000 0.0000
-1.3556 9.1993 0.0000
-3.1328 -3.9913 8.8540
O Te Cl Zr
22 8 4 4
Cartesian
0.4406 -3.4298 7.9061
0.7012 5.3747 5.9000
4.9890 7.5462 0.7532
0.2115 3.7493 3.6697
-2.6924 4.9206 5.9910
3.3764 -2.9244 8.3191
3.3815 2.3287 1.4713
-1.7044 2.1092 5.3105
2.8797 4.3367 4.2549
-1.6671 -2.3383 8.1008
-0.0595 2.8793 7.3828
3.1105 1.4587 5.1843
2.8093 3.5238 7.3014
6.0143 0.2873 2.8630
-2.8773 2.1977 7.3810
6.1992 3.0102 1.4730
0.5127 1.6842 1.5526
5.0264 3.0987 3.5436
-0.0545 8.1323 0.5349
2.8814 8.6378 0.9479
2.6207 -0.1668 2.9540
0.4422 0.8713 4.5991
-0.6110 -2.6577 6.4710
6.7287 6.6724 0.0302
3.9330 7.8657 2.3830
2.0864 -0.0399 4.7596
-1.1111 1.4115 7.0089
4.4330 3.7964 1.8451
1.2355 5.2478 4.0944
-3.4067 -1.4645 8.8238
1.6105 0.0847 7.8881
-1.5773 6.5681 3.3138
4.8993 -1.3601 5.5402
1.7114 5.1232 0.9659
4.1585 3.1565 5.5035
0.9007 4.6310 7.8897
2.4213 0.5769 0.9643
-0.8366 2.0514 3.3505
```